Record 1
Computed, not measured: crystalline Hf3Nb2Sb4 at its relaxed geometry at the PBE level of DFT.

Calculated values
density: 10.1 g/cm³
final energy: -7.536 eV/atom
uncorrected formation energy: -0.15 eV per atom

Lattice parameters (Å, degrees): 5.202 5.202 9.054 104.74 104.74 57.52
Element x y z (fractional)
Hf (0.000, 0.000, 0.000)
Hf (0.334, 0.334, 0.260)
Hf (0.666, 0.666, 0.740)
Nb (0.298, 0.298, 0.591)
Nb (0.702, 0.702, 0.409)
Sb (0.026, 0.026, 0.337)
Sb (0.314, 0.314, 0.921)
Sb (0.686, 0.686, 0.079)
Sb (0.974, 0.974, 0.663)



Record 2
Computed, not measured: crystalline TlGe2BiCl8 at its relaxed geometry at the PBE level of DFT.

Calculated values
density: 3.4 g/cm³
final energy: -3.409 eV/atom
uncorrected formation energy: -0.89 eV per atom

Lattice parameters (Å, degrees): 6.412 6.988 9.150 92.87 90.10 94.42
Element x y z (fractional)
Tl (0.000, 0.000, 0.000)
Ge (0.457, 0.552, 0.269)
Ge (0.543, 0.448, 0.731)
Bi (0.000, 0.000, 0.500)
Cl (0.214, 0.197, 0.293)
Cl (0.242, 0.686, 0.463)
Cl (0.274, 0.138, 0.719)
Cl (0.278, 0.644, 0.071)
Cl (0.722, 0.356, 0.929)
Cl (0.726, 0.862, 0.281)
Cl (0.758, 0.314, 0.537)
Cl (0.786, 0.803, 0.707)



Record 3
Computed, not measured: crystalline GdDy2Tm at its relaxed geometry at the PBE level of DFT.

Calculated values
density: 8.6 g/cm³
final energy: -6.915 eV/atom
formation energy: 23.8 meV per atom
E above lowest polymorph: 0.0027 eV per atom

Lattice parameters (Å, degrees): 11.711 11.711 11.711 17.39 17.39 17.39
Element x y z (fractional)
Gd (0.000, 0.000, 0.000)
Dy (0.249, 0.249, 0.249)
Dy (0.751, 0.751, 0.751)
Tm (0.500, 0.500, 0.500)



Record 4
Computed, not measured: crystalline KTcBr5 at its relaxed geometry at the PBE level of DFT.

Calculated values
density: 3.4 g/cm³
final energy: -3.563 eV/atom
uncorrected formation energy: -0.73 eV per atom

Lattice parameters (Å, degrees): 8.344 8.344 9.853 108.33 108.33 56.03
Element x y z (fractional)
K (0.032, 0.968, 0.750)
K (0.968, 0.032, 0.250)
Tc (0.500, 0.500, 0.000)
Tc (0.500, 0.500, 0.500)
Br (0.152, 0.592, 0.476)
Br (0.153, 0.587, 0.886)
Br (0.390, 0.610, 0.250)
Br (0.408, 0.848, 0.024)
Br (0.413, 0.847, 0.614)
Br (0.587, 0.153, 0.386)
Br (0.592, 0.152, 0.976)
Br (0.610, 0.390, 0.750)
Br (0.847, 0.413, 0.114)
Br (0.848, 0.408, 0.524)



Record 5
Computed, not measured: crystalline Tb2PrEr2 at its relaxed geometry at the PBE level of DFT.

Calculated values
density: 7.8 g/cm³
final energy: -4.134 eV/atom
formation energy: 499.5 meV per atom
E above lowest polymorph: 0.4195 eV per atom

Lattice parameters (Å, degrees): 6.374 6.374 6.374 124.69 124.69 82.04
Element x y z (fractional)
Tb (0.146, 0.146, 0.000)
Tb (0.854, 0.854, 0.000)
Pr (0.500, 0.500, 0.000)
Er (0.250, 0.750, 0.500)
Er (0.750, 0.250, 0.500)



Record 6
Computed, not measured: crystalline AgTe2WI at its relaxed geometry at the PBE level of DFT.

Calculated values
density: 6.9 g/cm³
final energy: -4.032 eV/atom
E above lowest polymorph: 0.0000 eV per atom
uncorrected formation energy: 0.70 eV per atom

Lattice parameters (Å, degrees): 5.222 5.222 5.910 90.00 90.00 90.00
Element x y z (fractional)
Ag (0.000, 0.000, 0.000)
Te (0.000, 0.500, 0.500)
Te (0.500, 0.000, 0.500)
W (0.500, 0.500, 0.500)
I (0.500, 0.500, 0.000)



Record 7
Computed, not measured: crystalline Be2AsAu at its relaxed geometry at the PBE level of DFT.

Calculated values
density: 8.1 g/cm³
final energy: -3.295 eV/atom
formation energy: 549.8 meV per atom

Lattice parameters (Å, degrees): 4.373 4.373 4.373 60.00 60.00 60.00
Element x y z (fractional)
Be (0.000, 0.000, 0.000)
Be (0.250, 0.250, 0.250)
As (0.500, 0.500, 0.500)
Au (0.750, 0.750, 0.750)



Record 8
Computed, not measured: crystalline YSc7Hg4 at its relaxed geometry at the PBE level of DFT.

Calculated values
density: 7.0 g/cm³
final energy: -4.398 eV/atom
formation energy: -65.7 meV per atom

Lattice parameters (Å, degrees): 7.440 7.440 9.228 119.81 119.81 41.74
Element x y z (fractional)
Y (0.000, 0.000, 0.000)
Sc (0.068, 0.068, 0.414)
Sc (0.211, 0.211, 0.883)
Sc (0.265, 0.265, 0.315)
Sc (0.500, 0.500, 0.000)
Sc (0.735, 0.735, 0.685)
Sc (0.789, 0.789, 0.117)
Sc (0.932, 0.932, 0.586)
Hg (0.314, 0.314, 0.664)
Hg (0.448, 0.448, 0.271)
Hg (0.552, 0.552, 0.729)
Hg (0.686, 0.686, 0.336)



Record 9
Computed, not measured: crystalline MgBr at its relaxed geometry at the PBE level of DFT.

Calculated values
density: 2.3 g/cm³
final energy: -2.525 eV/atom
uncorrected formation energy: -0.89 eV per atom

Lattice parameters (Å, degrees): 9.143 9.143 9.143 92.33 92.33 156.74
Element x y z (fractional)
Mg (0.165, 0.698, 0.863)
Mg (0.302, 0.165, 0.468)
Mg (0.698, 0.835, 0.532)
Mg (0.835, 0.302, 0.137)
Br (0.211, 0.489, 0.700)
Br (0.489, 0.789, 0.279)
Br (0.511, 0.211, 0.721)
Br (0.789, 0.511, 0.300)



Record 10
Computed, not measured: crystalline LiEr2Mg8 at its relaxed geometry at the PBE level of DFT.

Calculated values
density: 3.3 g/cm³
final energy: -2.164 eV/atom
formation energy: -0.3 meV per atom
E above lowest polymorph: 0.0259 eV per atom

Lattice parameters (Å, degrees): 4.590 4.590 12.895 90.00 90.00 90.00
Element x y z (fractional)
Li (0.000, 0.000, 0.000)
Er (0.000, 0.000, 0.313)
Er (0.000, 0.000, 0.687)
Mg (0.000, 0.500, 0.131)
Mg (0.000, 0.500, 0.500)
Mg (0.000, 0.500, 0.869)
Mg (0.500, 0.000, 0.131)
Mg (0.500, 0.000, 0.500)
Mg (0.500, 0.000, 0.869)
Mg (0.500, 0.500, 0.314)
Mg (0.500, 0.500, 0.686)



Record 11
Computed, not measured: crystalline Sm3YHo3S8 at its relaxed geometry at the PBE level of DFT.

Calculated values
density: 6.2 g/cm³
final energy: -6.544 eV/atom
uncorrected formation energy: -2.05 eV per atom

Lattice parameters (Å, degrees): 7.899 7.899 7.899 59.60 59.60 59.60
Element x y z (fractional)
Sm (0.000, 0.500, 0.500)
Sm (0.500, 0.000, 0.500)
Sm (0.500, 0.500, 0.000)
Y (0.500, 0.500, 0.500)
Ho (0.000, 0.000, 0.500)
Ho (0.000, 0.500, 0.000)
Ho (0.500, 0.000, 0.000)
S (0.243, 0.749, 0.749)
S (0.246, 0.246, 0.246)
S (0.251, 0.251, 0.757)
S (0.251, 0.757, 0.251)
S (0.749, 0.243, 0.749)
S (0.749, 0.749, 0.243)
S (0.754, 0.754, 0.754)
S (0.757, 0.251, 0.251)



Record 12
Computed, not measured: crystalline SrCaAg2Br6 at its relaxed geometry at the PBE level of DFT.

Calculated values
density: 4.1 g/cm³
final energy: -3.292 eV/atom
uncorrected formation energy: -1.35 eV per atom

Lattice parameters (Å, degrees): 7.492 7.503 8.024 62.40 62.51 60.18
Element x y z (fractional)
Sr (0.000, 0.000, 0.000)
Ca (0.490, 0.490, 0.529)
Ag (0.243, 0.248, 0.263)
Ag (0.697, 0.691, 0.919)
Br (0.091, 0.413, 0.743)
Br (0.278, 0.885, 0.249)
Br (0.416, 0.748, 0.747)
Br (0.588, 0.282, 0.244)
Br (0.750, 0.089, 0.744)
Br (0.882, 0.589, 0.243)



Record 13
Computed, not measured: crystalline TbDy2HoP4 at its relaxed geometry at the PBE level of DFT.

Calculated values
density: 7.0 g/cm³
final energy: -6.621 eV/atom
formation energy: -1614.4 meV per atom

Lattice parameters (Å, degrees): 6.940 4.008 6.940 90.00 109.46 90.00
Element x y z (fractional)
Tb (0.000, 0.000, 0.000)
Dy (0.500, 0.000, 0.500)
Dy (0.500, 0.500, 0.000)
Ho (0.000, 0.500, 0.500)
P (0.250, 0.000, 0.749)
P (0.251, 0.500, 0.251)
P (0.749, 0.500, 0.749)
P (0.750, 0.000, 0.251)



Record 14
Computed, not measured: crystalline NaCu2RhCl6 at its relaxed geometry at the PBE level of DFT.

Calculated values
density: 3.5 g/cm³
final energy: -3.558 eV/atom
uncorrected formation energy: -0.76 eV per atom

Lattice parameters (Å, degrees): 7.235 7.235 7.235 53.01 53.01 53.01
Element x y z (fractional)
Na (0.000, 0.000, 0.000)
Cu (0.236, 0.236, 0.236)
Cu (0.764, 0.764, 0.764)
Rh (0.500, 0.500, 0.500)
Cl (0.119, 0.434, 0.722)
Cl (0.278, 0.881, 0.566)
Cl (0.434, 0.722, 0.119)
Cl (0.566, 0.278, 0.881)
Cl (0.722, 0.119, 0.434)
Cl (0.881, 0.566, 0.278)



Record 15
Computed, not measured: crystalline DyThRh at its relaxed geometry at the PBE level of DFT.

Calculated values
density: 10.2 g/cm³
final energy: -7.037 eV/atom
formation energy: -579.7 meV per atom
E above lowest polymorph: 0.0192 eV per atom

Lattice parameters (Å, degrees): 3.964 5.872 7.317 99.29 105.68 90.00
Element x y z (fractional)
Dy (0.078, 0.277, 0.155)
Dy (0.922, 0.723, 0.845)
Th (0.347, 0.195, 0.694)
Th (0.653, 0.805, 0.306)
Rh (0.272, 0.686, 0.544)
Rh (0.728, 0.314, 0.456)



Record 16
Computed, not measured: crystalline Ca2Hg at its relaxed geometry at the PBE level of DFT.

Calculated values
density: 5.5 g/cm³
final energy: -1.522 eV/atom
formation energy: -87.0 meV per atom

Lattice parameters (Å, degrees): 5.431 5.431 3.345 90.00 90.00 120.00
Element x y z (fractional)
Ca (0.333, 0.667, 0.000)
Ca (0.667, 0.333, 0.000)
Hg (0.000, 0.000, 0.500)



Record 17
Computed, not measured: crystalline Ba2CuSi at its relaxed geometry at the PBE level of DFT.

Calculated values
density: 4.0 g/cm³
final energy: -3.232 eV/atom
uncorrected formation energy: 0.11 eV per atom

Lattice parameters (Å, degrees): 4.840 4.840 8.500 103.35 103.35 52.01
Element x y z (fractional)
Ba (0.249, 0.249, 0.239)
Ba (0.751, 0.751, 0.761)
Cu (0.000, 0.000, 0.500)
Si (0.500, 0.500, 0.000)



Record 18
Computed, not measured: crystalline KPd3Cl at its relaxed geometry at the PBE level of DFT.

Calculated values
density: 4.8 g/cm³
final energy: -2.420 eV/atom
E above lowest polymorph: 1.1446 eV per atom
uncorrected formation energy: 1.28 eV per atom

Lattice parameters (Å, degrees): 5.149 5.149 5.149 90.00 90.00 90.00
Element x y z (fractional)
K (0.000, 0.000, 0.000)
Pd (0.000, 0.000, 0.500)
Pd (0.000, 0.500, 0.000)
Pd (0.500, 0.000, 0.000)
Cl (0.500, 0.500, 0.500)



Record 19
Computed, not measured: crystalline SiCl at its relaxed geometry at the PBE level of DFT.

Calculated values
density: 1.7 g/cm³
final energy: -2.850 eV/atom
E above lowest polymorph: 1.4589 eV per atom
uncorrected formation energy: 0.78 eV per atom

Lattice parameters (Å, degrees): 4.407 4.407 4.407 60.00 60.00 60.00
Element x y z (fractional)
Si (0.000, 0.000, 0.000)
Cl (0.750, 0.750, 0.750)



Record 20
Computed, not measured: crystalline NbRuBr2 at its relaxed geometry at the PBE level of DFT.

Calculated values
density: 6.0 g/cm³
final energy: -4.805 eV/atom
E above lowest polymorph: 0.4761 eV per atom
uncorrected formation energy: 0.87 eV per atom

Lattice parameters (Å, degrees): 7.068 7.068 7.068 131.29 131.29 71.35
Element x y z (fractional)
Nb (0.000, 0.000, 0.000)
Nb (0.750, 0.250, 0.500)
Ru (0.250, 0.750, 0.500)
Ru (0.500, 0.500, 0.000)
Br (0.138, 0.625, 0.013)
Br (0.375, 0.388, 0.513)
Br (0.612, 0.125, 0.987)
Br (0.875, 0.862, 0.487)



Record 21
Computed, not measured: crystalline Ho3Si2Ir5 at its relaxed geometry at the PBE level of DFT.

Calculated values
density: 14.3 g/cm³
final energy: -7.814 eV/atom
uncorrected formation energy: -0.93 eV per atom

Lattice parameters (Å, degrees): 9.878 9.878 3.592 90.00 90.00 90.00
Element x y z (fractional)
Ho (0.000, 0.000, 0.000)
Ho (0.174, 0.326, 0.000)
Ho (0.326, 0.826, 0.000)
Ho (0.500, 0.500, 0.000)
Ho (0.674, 0.174, 0.000)
Ho (0.826, 0.674, 0.000)
Si (0.123, 0.623, 0.000)
Si (0.377, 0.123, 0.000)
Si (0.623, 0.877, 0.000)
Si (0.877, 0.377, 0.000)
Ir (0.000, 0.500, 0.500)
Ir (0.069, 0.779, 0.500)
Ir (0.221, 0.069, 0.500)
Ir (0.279, 0.569, 0.500)
Ir (0.431, 0.279, 0.500)
Ir (0.500, 0.000, 0.500)
Ir (0.569, 0.721, 0.500)
Ir (0.721, 0.431, 0.500)
Ir (0.779, 0.931, 0.500)
Ir (0.931, 0.221, 0.500)



Record 22
Computed, not measured: crystalline Zr2RuCl at its relaxed geometry at the PBE level of DFT.

Calculated values
density: 6.4 g/cm³
final energy: -7.547 eV/atom
E above lowest polymorph: 0.2041 eV per atom
uncorrected formation energy: -0.49 eV per atom

Lattice parameters (Å, degrees): 7.828 7.828 7.828 156.10 154.96 34.88
Element x y z (fractional)
Zr (0.000, 0.000, 0.000)
Zr (0.778, 0.278, 0.500)
Ru (0.412, 0.412, 0.000)
Cl (0.164, 0.664, 0.500)



Record 23
Computed, not measured: crystalline Mg2CBr at its relaxed geometry at the PBE level of DFT.

Calculated values
density: 2.7 g/cm³
final energy: -3.450 eV/atom
uncorrected formation energy: 0.07 eV per atom

Lattice parameters (Å, degrees): 6.519 6.519 6.519 126.43 126.43 79.18
Element x y z (fractional)
Mg (0.030, 0.625, 0.905)
Mg (0.375, 0.280, 0.405)
Mg (0.720, 0.125, 0.095)
Mg (0.875, 0.970, 0.595)
C (0.000, 0.000, 0.000)
C (0.750, 0.250, 0.500)
Br (0.250, 0.750, 0.500)
Br (0.500, 0.500, 0.000)



Record 24
Computed, not measured: crystalline Pm3Al4Ge4 at its relaxed geometry at the PBE level of DFT.

Calculated values
density: 5.9 g/cm³
final energy: -4.822 eV/atom
formation energy: -486.4 meV per atom
E above lowest polymorph: 0.0000 eV per atom

Lattice parameters (Å, degrees): 13.858 13.858 13.858 162.83 162.65 24.50
Element x y z (fractional)
Pm (0.000, 0.000, 0.000)
Pm (0.356, 0.856, 0.500)
Pm (0.644, 0.144, 0.500)
Al (0.094, 0.594, 0.500)
Al (0.250, 0.250, 0.000)
Al (0.750, 0.750, 0.000)
Al (0.906, 0.406, 0.500)
Ge (0.188, 0.688, 0.500)
Ge (0.453, 0.453, 0.000)
Ge (0.547, 0.547, 0.000)
Ge (0.812, 0.312, 0.500)